## a
The following is a PBE calculation of HfNiSn3 after structural relaxation, from Alexandria.

abc: 4.9312 4.9312 4.9312
angles: 90.00 90.00 90.00
With the nearest neighbours (Å) after each atom.
Fractional positions:
Hf (0.0000, 0.0000, 0.0000)  12 Sn 3.49
Ni (0.5000, 0.5000, 0.5000)  6 Sn 2.47
Sn (0.0000, 0.5000, 0.5000)  2 Ni 2.47
Sn (0.5000, 0.0000, 0.5000)  2 Ni 2.47
Sn (0.5000, 0.5000, 0.0000)  2 Ni 2.47

**Total moment**: 0.0000 μB/atom

## b
The following is a PBE calculation of HfNiSn3 after structural relaxation, from Alexandria.

abc: 5.4896 5.4896 5.4896
angles: 90.00 90.00 90.00
With the nearest neighbours (Å) after each atom.
Fractional positions:
Hf (0.0000, 0.0000, 0.0000)  6 Sn 2.74
Ni (0.5000, 0.5000, 0.5000)  12 Sn 3.88
Sn (0.0000, 0.0000, 0.5000)  2 Hf 2.74
Sn (0.0000, 0.5000, 0.0000)  2 Hf 2.74
Sn (0.5000, 0.0000, 0.0000)  2 Hf 2.74

**Total moment**: 0.2373 μB/atom

Most favorable structure: a. The second most favorable one is 54.5 kJ/mol of atoms above it.

## a
The following is a PBE calculation of SrHfNi2 after structural relaxation, from Alexandria.

abc: 6.1424 6.1424 6.1424
angles: 107.15 107.15 114.22
With the nearest neighbours (Å) after each atom.
Fractional positions:
Sr (0.0000, 0.0000, 0.0000)  4 Ni 2.98, 2 Hf 3.34
Sr (0.7500, 0.2500, 0.5000)  4 Ni 2.98, 2 Hf 3.34
Hf (0.2500, 0.7500, 0.5000)  4 Ni 2.47
Hf (0.5000, 0.5000, 0.0000)  4 Ni 2.47
Ni (0.1778, 0.6250, 0.0528)  2 Hf 2.47
Ni (0.3750, 0.4278, 0.5528)  2 Hf 2.47
Ni (0.5722, 0.1250, 0.9472)  2 Hf 2.47
Ni (0.8750, 0.8222, 0.4472)  2 Hf 2.47

**Total moment**: 0.0000 μB/atom

## b
The following is a PBE calculation of SrHfNi2 after structural relaxation, from Alexandria.

abc: 4.7507 4.7507 4.7507
angles: 60.00 60.00 60.00
With the nearest neighbours (Å) after each atom.
Fractional positions:
Sr (0.0000, 0.0000, 0.0000)  8 Ni 2.91
Hf (0.5000, 0.5000, 0.5000)  8 Ni 2.91
Ni (0.2500, 0.2500, 0.2500)  4 Hf 2.91, 4 Sr 2.91
Ni (0.7500, 0.7500, 0.7500)  4 Hf 2.91, 4 Sr 2.91

**Total moment**: 0.0000 μB/atom

Most favorable structure: b. The second most favorable one is 17.6 kJ/mol of atoms above it.

## a
The following is a PBE calculation of HfTa3Ni after structural relaxation, from Alexandria.

abc: 4.8620 4.8620 4.8620
angles: 90.00 90.00 90.00
With the nearest neighbours (Å) after each atom.
Fractional positions:
Hf (0.0000, 0.0000, 0.0000)  6 Ta 2.43
Ta (0.0000, 0.0000, 0.5000)  2 Hf 2.43
Ta (0.0000, 0.5000, 0.0000)  2 Hf 2.43
Ta (0.5000, 0.0000, 0.0000)  2 Hf 2.43
Ni (0.5000, 0.5000, 0.5000)  12 Ta 3.44

**Total moment**: 0.0001 μB/atom

## b
The following is a PBE calculation of HfTa3Ni after structural relaxation, from Alexandria.

abc: 4.6436 4.6436 4.6436
angles: 90.00 90.00 90.00
With the nearest neighbours (Å) after each atom.
Fractional positions:
Hf (0.0000, 0.0000, 0.0000)  12 Ta 3.28
Ta (0.0000, 0.5000, 0.5000)  2 Ni 2.32
Ta (0.5000, 0.0000, 0.5000)  2 Ni 2.32
Ta (0.5000, 0.5000, 0.0000)  2 Ni 2.32
Ni (0.5000, 0.5000, 0.5000)  6 Ta 2.32

**Total moment**: 0.0000 μB/atom

Most favorable structure: b. The second most favorable one is 144.6 kJ/mol of atoms above it.

## a
The following is a PBE calculation of Hf3TaNi after structural relaxation, from Alexandria.

abc: 4.7540 4.7540 4.7540
angles: 90.00 90.00 90.00
With the nearest neighbours (Å) after each atom.
Fractional positions:
Hf (0.0000, 0.0000, 0.5000)  2 Ni 2.38
Hf (0.0000, 0.5000, 0.0000)  2 Ni 2.38
Hf (0.5000, 0.0000, 0.0000)  2 Ni 2.38
Ta (0.5000, 0.5000, 0.5000)  12 Hf 3.36
Ni (0.0000, 0.0000, 0.0000)  6 Hf 2.38

**Total moment**: 0.0004 μB/atom

## b
The following is a PBE calculation of Hf3TaNi after structural relaxation, from Alexandria.

abc: 5.0358 5.0358 5.0358
angles: 90.00 90.00 90.00
With the nearest neighbours (Å) after each atom.
Fractional positions:
Hf (0.0000, 0.0000, 0.5000)  2 Ta 2.52
Hf (0.0000, 0.5000, 0.0000)  2 Ta 2.52
Hf (0.5000, 0.0000, 0.0000)  2 Ta 2.52
Ta (0.0000, 0.0000, 0.0000)  6 Hf 2.52
Ni (0.5000, 0.5000, 0.5000)  12 Hf 3.56

**Total moment**: 0.0000 μB/atom

Most favorable structure: a. The second most favorable one is 85.9 kJ/mol of atoms above it.

## a
The following is a PBE calculation of HfTaNi3 after structural relaxation, from Alexandria.

abc: 4.4311 4.4311 4.4311
angles: 90.00 90.00 90.00
With the nearest neighbours (Å) after each atom.
Fractional positions:
Hf (0.0000, 0.0000, 0.0000)  6 Ni 2.22
Ta (0.5000, 0.5000, 0.5000)  12 Ni 3.13
Ni (0.0000, 0.0000, 0.5000)  2 Hf 2.22
Ni (0.0000, 0.5000, 0.0000)  2 Hf 2.22
Ni (0.5000, 0.0000, 0.0000)  2 Hf 2.22

**Total moment**: 0.0000 μB/atom

## b
The following is a PBE calculation of HfTaNi3 after structural relaxation, from Alexandria.

abc: 4.4756 4.4756 4.4756
angles: 90.00 90.00 90.00
With the nearest neighbours (Å) after each atom.
Fractional positions:
Hf (0.0000, 0.0000, 0.0000)  12 Ni 3.16
Ta (0.5000, 0.5000, 0.5000)  6 Ni 2.24
Ni (0.0000, 0.5000, 0.5000)  2 Ta 2.24
Ni (0.5000, 0.0000, 0.5000)  2 Ta 2.24
Ni (0.5000, 0.5000, 0.0000)  2 Ta 2.24

**Total moment**: 0.0000 μB/atom

Most favorable structure: b. The second most favorable one is 30.9 kJ/mol of atoms above it.

## a
The following is a PBE calculation of Hf2TaNi after structural relaxation, from Alexandria.

abc: 5.9224 5.9224 5.9224
angles: 103.15 103.15 123.02
With the nearest neighbours (Å) after each atom.
Fractional positions:
Hf (0.0808, 0.1250, 0.4558)  2 Ni 2.49
Hf (0.3750, 0.9192, 0.0442)  2 Ni 2.49
Hf (0.6692, 0.6250, 0.5442)  2 Ni 2.49
Hf (0.8750, 0.3308, 0.9558)  2 Ni 2.49
Ta (0.2500, 0.7500, 0.5000)  2 Ni 2.83, 4 Hf 2.93
Ta (0.5000, 0.5000, 0.0000)  2 Ni 2.83, 4 Hf 2.93
Ni (0.0000, 0.0000, 0.0000)  4 Hf 2.49
Ni (0.7500, 0.2500, 0.5000)  4 Hf 2.49

**Total moment**: 0.0000 μB/atom

## b
The following is a PBE calculation of Hf2TaNi after structural relaxation, from Alexandria.

abc: 3.1438 3.1438 7.3456
angles: 90.00 90.00 90.00
With the nearest neighbours (Å) after each atom.
Fractional positions:
Hf (0.0000, 0.0000, 0.2258)  4 Ni 2.77, 4 Ta 3.00
Hf (0.0000, 0.0000, 0.7742)  4 Ni 2.77, 4 Ta 3.00
Ta (0.5000, 0.5000, 0.5000)  8 Hf 3.00, 4 Ta 3.14
Ni (0.5000, 0.5000, 0.0000)  8 Hf 2.77

**Total moment**: 0.0000 μB/atom

Most favorable structure: b. The second most favorable one is 45.1 kJ/mol of atoms above it.

## a
The following is a PBE calculation of HfTcNi2 after structural relaxation, from Alexandria.

abc: 9.2244 9.2244 9.2244
angles: 156.54 156.54 33.41
With the nearest neighbours (Å) after each atom.
Fractional positions:
Hf (0.0000, 0.0000, 0.0000)  4 Ni 2.60, 4 Tc 2.65
Hf (0.7500, 0.2500, 0.5000)  4 Ni 2.60, 4 Tc 2.65
Tc (0.2500, 0.7500, 0.5000)  4 Ni 2.55, 4 Hf 2.65
Tc (0.5000, 0.5000, 0.0000)  4 Ni 2.55, 4 Hf 2.65
Ni (0.1438, 0.6250, 0.0188)  2 Tc 2.55, 4 Ni 2.55-2.75, 2 Hf 2.60
Ni (0.3750, 0.3938, 0.5188)  2 Tc 2.55, 4 Ni 2.55-2.75, 2 Hf 2.60
Ni (0.6062, 0.1250, 0.9812)  2 Tc 2.55, 4 Ni 2.55-2.75, 2 Hf 2.60
Ni (0.8750, 0.8562, 0.4812)  2 Tc 2.55, 4 Ni 2.55-2.75, 2 Hf 2.60

**Total moment**: 0.0000 μB/atom

## b
The following is a PBE calculation of HfTcNi2 after structural relaxation, from Alexandria.

abc: 3.8545 3.8545 3.7823
angles: 90.00 90.00 90.00
With the nearest neighbours (Å) after each atom.
Fractional positions:
Hf (0.0000, 0.0000, 0.0000)  8 Ni 2.70, 4 Tc 2.73
Tc (0.5000, 0.5000, 0.0000)  8 Ni 2.70, 4 Hf 2.73
Ni (0.0000, 0.5000, 0.5000)  4 Hf 2.70, 4 Tc 2.70, 4 Ni 2.73
Ni (0.5000, 0.0000, 0.5000)  4 Hf 2.70, 4 Tc 2.70, 4 Ni 2.73

**Total moment**: 0.0003 μB/atom

Most favorable structure: b. The second most favorable one is 53.9 kJ/mol of atoms above it.

## a
The following is a PBE calculation of HfTcNi3 after structural relaxation, from Alexandria.

abc: 4.4058 4.4058 4.4058
angles: 90.00 90.00 90.00
With the nearest neighbours (Å) after each atom.
Fractional positions:
Hf (0.0000, 0.0000, 0.0000)  6 Ni 2.20
Tc (0.5000, 0.5000, 0.5000)  12 Ni 3.12
Ni (0.0000, 0.0000, 0.5000)  2 Hf 2.20
Ni (0.0000, 0.5000, 0.0000)  2 Hf 2.20
Ni (0.5000, 0.0000, 0.0000)  2 Hf 2.20

**Total moment**: 0.0001 μB/atom

## b
The following is a PBE calculation of HfTcNi3 after structural relaxation, from Alexandria.

abc: 4.4111 4.4111 4.4111
angles: 90.00 90.00 90.00
With the nearest neighbours (Å) after each atom.
Fractional positions:
Hf (0.0000, 0.0000, 0.0000)  12 Ni 3.12
Tc (0.5000, 0.5000, 0.5000)  6 Ni 2.21
Ni (0.0000, 0.5000, 0.5000)  2 Tc 2.21
Ni (0.5000, 0.0000, 0.5000)  2 Tc 2.21
Ni (0.5000, 0.5000, 0.0000)  2 Tc 2.21

**Total moment**: 0.0000 μB/atom

Most favorable structure: b. The second most favorable one is 57.8 kJ/mol of atoms above it.

## a
The following is a PBE calculation of Hf3TcNi2 after structural relaxation, from Alexandria.

abc: 3.2335 3.2335 9.5214
angles: 90.00 90.00 90.00
With the nearest neighbours (Å) after each atom.
Fractional positions:
Hf (0.0000, 0.0000, 0.0000)  8 Ni 2.75
Hf (0.0000, 0.0000, 0.3327)  4 Tc 2.79, 4 Ni 2.81
Hf (0.0000, 0.0000, 0.6673)  4 Tc 2.79, 4 Ni 2.81
Tc (0.5000, 0.5000, 0.5000)  8 Hf 2.79
Ni (0.5000, 0.5000, 0.1609)  8 Hf 2.75-2.81, 1 Ni 3.06
Ni (0.5000, 0.5000, 0.8391)  8 Hf 2.75-2.81, 1 Ni 3.06

**Total moment**: 0.0000 μB/atom

## b
The following is a PBE calculation of Hf3TcNi2 after structural relaxation, from Alexandria.

abc: 7.2096 7.2096 6.3624
angles: 90.00 90.00 143.05
With the nearest neighbours (Å) after each atom.
Fractional positions:
Hf (0.0000, 0.0000, 0.2475)  2 Tc 2.77, 6 Ni 2.77-2.81
Hf (0.0000, 0.0000, 0.7525)  2 Tc 2.77, 6 Ni 2.77-2.81
Hf (0.3339, 0.6661, 0.2485)  5 Ni 2.74-2.78, 3 Tc 2.79-2.81
Hf (0.3339, 0.6661, 0.7515)  5 Ni 2.74-2.78, 3 Tc 2.79-2.81
Hf (0.6661, 0.3339, 0.2485)  5 Ni 2.74-2.78, 3 Tc 2.79-2.81
Hf (0.6661, 0.3339, 0.7515)  5 Ni 2.74-2.78, 3 Tc 2.79-2.81
Tc (0.1649, 0.8351, 0.5000)  8 Hf 2.77-2.81
Tc (0.8351, 0.1649, 0.5000)  8 Hf 2.77-2.81
Ni (0.1699, 0.8301, 0.0000)  8 Hf 2.74-2.81
Ni (0.5000, 0.5000, 0.0000)  8 Hf 2.77
Ni (0.5000, 0.5000, 0.5000)  8 Hf 2.78-2.79
Ni (0.8301, 0.1699, 0.0000)  8 Hf 2.74-2.81

**Total moment**: 0.0001 μB/atom

Most favorable structure: a. The second most favorable one is 0.9 kJ/mol of atoms above it.

## a
The following is a PBE calculation of HfNiTe2 after structural relaxation, from Alexandria.

abc: 8.7196 6.6756 8.0378
angles: 90.00 117.42 90.00
With the nearest neighbours (Å) after each atom.
Fractional positions:
Hf (0.0002, 0.9997, 0.2101)  2 Ni 2.67, 4 Te 2.90-2.92
Hf (0.9998, 0.0003, 0.7899)  2 Ni 2.67, 4 Te 2.90-2.92
Hf (0.9998, 0.4997, 0.2899)  2 Ni 2.67, 4 Te 2.90-2.92
Hf (0.0002, 0.5003, 0.7101)  2 Ni 2.67, 4 Te 2.90-2.92
Ni (0.1120, 0.1458, 0.5557)  4 Te 2.57-2.68, 1 Ni 2.61, 2 Hf 2.67
Ni (0.1120, 0.3542, 0.0557)  4 Te 2.57-2.68, 1 Ni 2.61, 2 Hf 2.67
Ni (0.8880, 0.6458, 0.9443)  4 Te 2.57-2.68, 1 Ni 2.61, 2 Hf 2.67
Ni (0.8880, 0.8542, 0.4443)  4 Te 2.57-2.68, 1 Ni 2.61, 2 Hf 2.67
Te (0.2108, 0.7392, 0.1048)  2 Ni 2.57-2.68
Te (0.2108, 0.7608, 0.6048)  2 Ni 2.57-2.68
Te (0.3044, 0.2502, 0.4020)  2 Ni 2.60, 2 Hf 2.90-2.91
Te (0.3044, 0.2498, 0.9020)  2 Ni 2.60, 2 Hf 2.90-2.91
Te (0.6956, 0.7502, 0.0980)  2 Ni 2.60, 2 Hf 2.90-2.91
Te (0.6956, 0.7498, 0.5980)  2 Ni 2.60, 2 Hf 2.90-2.91
Te (0.7892, 0.2392, 0.3952)  2 Ni 2.57-2.68
Te (0.7892, 0.2608, 0.8952)  2 Ni 2.57-2.68

**Total moment**: 0.0000 μB/atom

## b
The following is a PBE calculation of HfNiTe2 after structural relaxation, from Alexandria.

abc: 7.4339 7.4339 7.4339
angles: 131.21 131.21 71.48
With the nearest neighbours (Å) after each atom.
Fractional positions:
Hf (0.0000, 0.0000, 0.0000)  4 Te 2.78
Hf (0.7500, 0.2500, 0.5000)  4 Te 2.78
Ni (0.2500, 0.7500, 0.5000)  4 Te 2.52
Ni (0.5000, 0.5000, 0.0000)  4 Te 2.52
Te (0.1626, 0.6250, 0.0376)  2 Ni 2.52, 2 Hf 2.78
Te (0.3750, 0.4126, 0.5376)  2 Ni 2.52, 2 Hf 2.78
Te (0.5874, 0.1250, 0.9624)  2 Ni 2.52, 2 Hf 2.78
Te (0.8750, 0.8374, 0.4624)  2 Ni 2.52, 2 Hf 2.78

**Total moment**: 0.0000 μB/atom

Most favorable structure: a. The second most favorable one is 49.6 kJ/mol of atoms above it.

## a
The following is a PBE calculation of HfNiTe2 after structural relaxation, from Alexandria.

abc: 4.9215 4.9215 4.9215
angles: 60.00 60.00 60.00
With the nearest neighbours (Å) after each atom.
Fractional positions:
Hf (0.0000, 0.0000, 0.0000)  8 Te 3.01
Ni (0.5000, 0.5000, 0.5000)  8 Te 3.01
Te (0.2500, 0.2500, 0.2500)  4 Ni 3.01, 4 Hf 3.01
Te (0.7500, 0.7500, 0.7500)  4 Hf 3.01, 4 Ni 3.01

**Total moment**: 0.0000 μB/atom

## b
The following is a PBE calculation of HfNiTe2 after structural relaxation, from Alexandria.

abc: 8.7553 8.7553 8.7553
angles: 25.65 25.65 25.65
With the nearest neighbours (Å) after each atom.
Fractional positions:
Hf (0.0000, 0.0000, 0.0000)  6 Te 2.88
Ni (0.5000, 0.5000, 0.5000)  2 Te 2.43
Te (0.4043, 0.4043, 0.4043)  1 Ni 2.43
Te (0.5957, 0.5957, 0.5957)  1 Ni 2.43

**Total moment**: 0.0887 μB/atom

Most favorable structure: b. The second most favorable one is 7.9 kJ/mol of atoms above it.

## a
The following is a PBE calculation of HfNiTe3 after structural relaxation, from Alexandria.

abc: 5.4975 5.4975 5.4975
angles: 90.00 90.00 90.00
With the nearest neighbours (Å) after each atom.
Fractional positions:
Hf (0.0000, 0.0000, 0.0000)  6 Te 2.75
Ni (0.5000, 0.5000, 0.5000)  12 Te 3.89
Te (0.0000, 0.0000, 0.5000)  2 Hf 2.75
Te (0.0000, 0.5000, 0.0000)  2 Hf 2.75
Te (0.5000, 0.0000, 0.0000)  2 Hf 2.75

**Total moment**: 0.0117 μB/atom

## b
The following is a PBE calculation of HfNiTe3 after structural relaxation, from Alexandria.

abc: 4.9766 4.9766 4.9766
angles: 90.00 90.00 90.00
With the nearest neighbours (Å) after each atom.
Fractional positions:
Hf (0.0000, 0.0000, 0.0000)  12 Te 3.52
Ni (0.5000, 0.5000, 0.5000)  6 Te 2.49
Te (0.0000, 0.5000, 0.5000)  2 Ni 2.49
Te (0.5000, 0.0000, 0.5000)  2 Ni 2.49
Te (0.5000, 0.5000, 0.0000)  2 Ni 2.49

**Total moment**: 0.0000 μB/atom

Most favorable structure: b. The second most favorable one is 21.3 kJ/mol of atoms above it.